#P
{
  "formula": "PuPaP2",
  "functional": "PBE",
  "state": "optimized geometry",
  "cell": [[3.990, 0.000, 0.000], [-1.995, 3.456, 0.000], [0.000, 0.000, 19.419]],
  "species": ["Pu", "Pu", "Pu", "Pa", "Pa", "Pa", "P", "P", "P", "P", "P", "P"],
  "frac_coords": [[0.000, 0.000, 0.000], [0.333, 0.667, 0.667], [0.667, 0.333, 0.333], [0.000, 0.000, 0.500], [0.333, 0.667, 0.167], [0.667, 0.333, 0.833], [0.000, 0.000, 0.249], [0.000, 0.000, 0.751], [0.333, 0.667, 0.417], [0.333, 0.667, 0.916], [0.667, 0.333, 0.084], [0.667, 0.333, 0.583]],
  "magnetic_moment_mub_per_fu": 5.3
}

***

#Q
{
  "formula": "PuPaP2",
  "functional": "PBE",
  "state": "optimized geometry",
  "cell": [[4.022, 0.000, 0.000], [-2.011, 3.483, 0.000], [0.000, 0.000, 6.658]],
  "species": ["Pu", "Pa", "P", "P"],
  "frac_coords": [[0.000, 0.000, 0.000], [0.000, 0.000, 0.500], [0.333, 0.667, 0.254], [0.667, 0.333, 0.746]],
  "magnetic_moment_mub_per_fu": 6.2
}

***

What is the stability order? It is #P, #Q, from most stable to least stable.

***

#P
{
  "formula": "RbPaP2",
  "functional": "PBE",
  "state": "optimized geometry",
  "cell": [[4.197, 0.000, 0.000], [-2.098, 3.635, 0.000], [0.000, 0.000, 23.251]],
  "species": ["Rb", "Rb", "Rb", "Pa", "Pa", "Pa", "P", "P", "P", "P", "P", "P"],
  "frac_coords": [[0.000, 0.000, 0.000], [0.333, 0.667, 0.667], [0.667, 0.333, 0.333], [0.000, 0.000, 0.500], [0.333, 0.667, 0.167], [0.667, 0.333, 0.833], [0.000, 0.000, 0.225], [0.000, 0.000, 0.775], [0.333, 0.667, 0.442], [0.333, 0.667, 0.891], [0.667, 0.333, 0.109], [0.667, 0.333, 0.558]],
  "magnetic_moment_mub_per_fu": 0.0
}

***

#Q
{
  "formula": "RbPaP2",
  "functional": "PBE",
  "state": "optimized geometry",
  "cell": [[4.185, 0.000, 0.000], [-2.092, 3.624, 0.000], [0.000, 0.000, 23.599]],
  "species": ["Rb", "Rb", "Rb", "Pa", "Pa", "Pa", "P", "P", "P", "P", "P", "P"],
  "frac_coords": [[0.000, 0.000, 0.000], [0.333, 0.667, 0.667], [0.667, 0.333, 0.333], [0.000, 0.000, 0.170], [0.333, 0.667, 0.836], [0.667, 0.333, 0.503], [0.000, 0.000, 0.561], [0.000, 0.000, 0.779], [0.333, 0.667, 0.227], [0.333, 0.667, 0.446], [0.667, 0.333, 0.112], [0.667, 0.333, 0.894]],
  "magnetic_moment_mub_per_fu": 0.0
}

***

What is the stability order? It is #P, #Q, from most stable to least stable.

***

#P
{
  "formula": "Pa2ReP",
  "functional": "PBE",
  "state": "optimized geometry",
  "cell": [[3.360, 0.000, 0.000], [0.000, 3.360, 0.000], [0.000, 0.000, 7.123]],
  "species": ["Pa", "Pa", "Re", "P"],
  "frac_coords": [[0.000, 0.000, 0.246], [0.000, 0.000, 0.754], [0.500, 0.500, 0.500], [0.500, 0.500, 0.000]],
  "magnetic_moment_mub_per_fu": 0.0
}

***

#Q
{
  "formula": "Pa2ReP",
  "functional": "PBE",
  "state": "optimized geometry",
  "cell": [[3.950, 0.000, 0.000], [-1.975, 3.421, 0.000], [0.000, 0.000, 20.256]],
  "species": ["Pa", "Pa", "Pa", "Pa", "Pa", "Pa", "Re", "Re", "Re", "P", "P", "P"],
  "frac_coords": [[0.000, 0.000, 0.246], [0.000, 0.000, 0.754], [0.333, 0.667, 0.421], [0.333, 0.667, 0.912], [0.667, 0.333, 0.088], [0.667, 0.333, 0.579], [0.000, 0.000, 0.500], [0.333, 0.667, 0.167], [0.667, 0.333, 0.833], [0.000, 0.000, 0.000], [0.333, 0.667, 0.667], [0.667, 0.333, 0.333]],
  "magnetic_moment_mub_per_fu": 0.0
}

***

What is the stability order? It is #Q, #P, from most stable to least stable.